(i)
VASP calculation (PBE) on a relaxed structure of SrFeRu2.

a b c (Å): 4.6146 4.6146 4.6146
angles (deg): 60.00 60.00 60.00
Last column: nearest neighbours and their distance in Å.
Atoms (fractional coordinates):
Ru (0.2500, 0.2500, 0.2500)  4 Fe 2.83, 4 Sr 2.83
Ru (0.7500, 0.7500, 0.7500)  4 Fe 2.83, 4 Sr 2.83
Fe (0.0000, 0.0000, 0.0000)  8 Ru 2.83
Sr (0.5000, 0.5000, 0.5000)  8 Ru 2.83

D(E_F) ... 4.03 states/eV per cell
M_tot ... 5.0 μB/cell
Space-group type ... No. 225
Volume ... 69.5 Å³ per cell

=====

(ii)
VASP calculation (PBE) on a relaxed structure of SrFeRu2.

a b c (Å): 4.8022 4.8022 9.0420
angles (deg): 74.60 74.60 90.00
Last column: nearest neighbours and their distance in Å.
Atoms (fractional coordinates):
Sr (0.0000, 0.0000, 0.0000)  4 Fe 3.40, 8 Ru 3.40-3.41
Sr (0.7500, 0.2500, 0.5000)  4 Fe 3.40, 8 Ru 3.40-3.41
Ru (0.3752, 0.6250, 0.2500)  2 Ru 2.40, 2 Fe 2.41
Ru (0.8750, 0.6248, 0.7500)  2 Ru 2.40, 2 Fe 2.41
Ru (0.3750, 0.6252, 0.7500)  2 Ru 2.40, 2 Fe 2.41
Ru (0.3748, 0.1250, 0.2500)  2 Ru 2.40, 2 Fe 2.41
Fe (0.5000, 0.5000, 0.0000)  4 Ru 2.41
Fe (0.2500, 0.7500, 0.5000)  4 Ru 2.41

D(E_F) ... 9.09 states/eV per cell
M_tot ... 7.4 μB/cell
Space-group type ... No. 141
Volume ... 193.3 Å³ per cell

=====

(ii) is the most stable structure; the next one sits 46 meV per atom above it.

=====

(i)
VASP calculation (PBE) on a relaxed structure of SrFeRu2.

a b c (Å): 3.0389 4.8236 4.7049
angles (deg): 90.00 90.00 90.00
Last column: nearest neighbours and their distance in Å.
Atoms (fractional coordinates):
Fe (0.0000, 0.5000, 0.5000)  4 Ru 2.80, 4 Sr 2.85, 2 Fe 3.04
Ru (0.0000, 0.0000, 0.0000)  4 Sr 2.80, 6 Ru 2.85-3.04
Ru (0.5000, 0.5000, 0.0000)  4 Fe 2.80, 6 Ru 2.85-3.04
Sr (0.5000, 0.0000, 0.5000)  4 Ru 2.80, 4 Fe 2.85, 2 Sr 3.04

D(E_F) ... 5.45 states/eV per cell
M_tot ... 4.0 μB/cell
Space-group type ... No. 47
Volume ... 69.0 Å³ per cell

=====

(ii)
VASP calculation (PBE) on a relaxed structure of SrFeRu2.

a b c (Å): 2.9238 3.5772 7.1724
angles (deg): 90.00 90.00 90.00
Last column: nearest neighbours and their distance in Å.
Atoms (fractional coordinates):
Sr (0.0000, 0.0000, 0.4979)  2 Sr 2.92
Fe (0.5000, 0.5000, 0.8311)  5 Ru 2.44-2.61
Ru (0.5000, 0.5000, 0.1719)  1 Fe 2.44, 4 Ru 2.62
Ru (0.0000, 0.0000, 0.9991)  4 Fe 2.61, 4 Ru 2.62

D(E_F) ... 4.45 states/eV per cell
M_tot ... 3.0 μB/cell
Space-group type ... No. 25
Volume ... 75.0 Å³ per cell

=====

(ii) is the most stable structure; the next one sits 357 meV per atom above it.

=====

(i)
VASP calculation (PBE) on a relaxed structure of SrFeRu2.

a b c (Å): 4.2821 4.2821 6.0554
angles (deg): 69.28 69.28 60.00
Last column: nearest neighbours and their distance in Å.
Atoms (fractional coordinates):
Ru (0.0110, 0.0110, 0.9668)  3 Ru 2.48, 3 Fe 2.56
Ru (0.6858, 0.6858, 0.9425)  3 Ru 2.48, 3 Fe 2.59
Sr (0.4981, 0.4981, 0.5058)  4 Ru 3.11-3.46, 4 Fe 3.20-3.40
Fe (0.3050, 0.3050, 0.0849)  6 Ru 2.56-2.59

D(E_F) ... 3.42 states/eV per cell
M_tot ... 2.9 μB/cell
Space-group type ... No. 160
Volume ... 87.8 Å³ per cell

=====

(ii)
VASP calculation (PBE) on a relaxed structure of SrFeRu2.

a b c (Å): 3.2649 4.6074 4.6074
angles (deg): 90.00 90.00 90.00
Last column: nearest neighbours and their distance in Å.
Atoms (fractional coordinates):
Ru (0.0000, 0.5000, 0.5000)  4 Fe 2.82, 4 Sr 2.82
Ru (0.0000, 0.0000, 0.0000)  4 Fe 2.82, 4 Sr 2.82
Fe (0.5000, 0.0000, 0.5000)  8 Ru 2.82
Sr (0.5000, 0.5000, 0.0000)  8 Ru 2.82

D(E_F) ... 5.00 states/eV per cell
M_tot ... 3.7 μB/cell
Space-group type ... No. 123
Volume ... 69.3 Å³ per cell

=====

(i) is the most stable structure; the next one sits 591 meV per atom above it.

=====

(i)
VASP calculation (PBE) on a relaxed structure of SrFeRu2.

a b c (Å): 9.0996 9.0996 9.0996
angles (deg): 18.94 18.94 18.94
Last column: nearest neighbours and their distance in Å.
Atoms (fractional coordinates):
Fe (0.7500, 0.7500, 0.7500)  6 Ru 2.54
Sr (0.2500, 0.2500, 0.2500)  6 Sr 2.99, 6 Ru 3.13
Ru (0.0141, 0.0141, 0.0141)  3 Fe 2.54
Ru (0.4859, 0.4859, 0.4859)  3 Fe 2.54

D(E_F) ... 4.80 states/eV per cell
M_tot ... 3.9 μB/cell
Space-group type ... No. 166
Volume ... 69.4 Å³ per cell

=====

(ii)
VASP calculation (PBE) on a relaxed structure of SrFeRu2.

a b c (Å): 5.6834 5.6834 5.6834
angles (deg): 149.58 128.19 61.27
Last column: nearest neighbours and their distance in Å.
Atoms (fractional coordinates):
Ru (0.7842, 0.2842, 0.5000)  2 Ru 2.61
Ru (0.0031, 0.0031, 0.0000)  2 Fe 2.54, 2 Ru 2.61
Sr (0.4996, 0.4996, 0.0000)  6 Ru 2.90-3.16, 2 Sr 2.98, 4 Fe 3.17-3.24
Fe (0.2130, 0.7130, 0.5000)  2 Ru 2.54

D(E_F) ... 5.92 states/eV per cell
M_tot ... 3.2 μB/cell
Space-group type ... No. 44
Volume ... 72.4 Å³ per cell

=====

(ii) is the most stable structure; the next one sits 47 meV per atom above it.

=====

(i)
VASP calculation (PBE) on a relaxed structure of SrFeRu3.

a b c (Å): 4.7352 4.7352 4.7352
angles (deg): 90.00 90.00 90.00
Last column: nearest neighbours and their distance in Å.
Atoms (fractional coordinates):
Fe (0.5000, 0.5000, 0.5000)  12 Ru 3.35
Ru (0.0000, 0.5000, 0.0000)  2 Sr 2.37
Ru (0.0000, 0.0000, 0.5000)  2 Sr 2.37
Ru (0.5000, 0.0000, 0.0000)  2 Sr 2.37
Sr (0.0000, 0.0000, 0.0000)  6 Ru 2.37

D(E_F) ... 14.24 states/eV per cell
M_tot ... 0.1 μB/cell
Space-group type ... No. 221
Volume ... 106.2 Å³ per cell

=====

(ii)
VASP calculation (PBE) on a relaxed structure of SrFeRu3.

a b c (Å): 4.5486 4.5486 4.5486
angles (deg): 90.00 90.00 90.00
Last column: nearest neighbours and their distance in Å.
Atoms (fractional coordinates):
Ru (0.5000, 0.0000, 0.0000)  2 Fe 2.27
Ru (0.0000, 0.0000, 0.5000)  2 Fe 2.27
Ru (0.0000, 0.5000, 0.0000)  2 Fe 2.27
Sr (0.5000, 0.5000, 0.5000)  12 Ru 3.22
Fe (0.0000, 0.0000, 0.0000)  6 Ru 2.27

D(E_F) ... 6.20 states/eV per cell
M_tot ... 0.0 μB/cell
Space-group type ... No. 221
Volume ... 94.1 Å³ per cell

=====

(ii) is the most stable structure; the next one sits 2276 meV per atom above it.

=====

(i)
VASP calculation (PBE) on a relaxed structure of Ta2Fe2Ru.

a b c (Å): 4.3262 4.3262 4.7593
angles (deg): 90.00 90.00 90.00
Last column: nearest neighbours and their distance in Å.
Atoms (fractional coordinates):
Ru (0.0000, 0.0000, 0.0000)  4 Fe 2.16, 2 Ta 2.38
Fe (0.0000, 0.5000, 0.0000)  2 Ru 2.16
Fe (0.5000, 0.0000, 0.0000)  2 Ru 2.16
Ta (0.5000, 0.5000, 0.5000)  4 Ta 3.06, 8 Fe 3.22
Ta (0.0000, 0.0000, 0.5000)  2 Ru 2.38

D(E_F) ... 6.52 states/eV per cell
M_tot ... 0.0 μB/cell
Space-group type ... No. 123
Volume ... 89.1 Å³ per cell

=====

(ii)
VASP calculation (PBE) on a relaxed structure of Ta2Fe2Ru.

a b c (Å): 3.1444 3.1840 7.4912
angles (deg): 77.73 90.00 90.00
Last column: nearest neighbours and their distance in Å.
Atoms (fractional coordinates):
Ta (0.5000, 0.3859, 0.2283)  4 Fe 2.52, 4 Ru 2.79
Ta (0.5000, 0.6141, 0.7717)  4 Fe 2.52, 4 Ru 2.79
Fe (0.0000, 0.1927, 0.6145)  2 Fe 2.31, 4 Ta 2.52
Fe (0.0000, 0.8073, 0.3855)  2 Fe 2.31, 4 Ta 2.52
Ru (0.0000, 0.0000, 0.0000)  8 Ta 2.79, 2 Fe 2.82

D(E_F) ... 3.95 states/eV per cell
M_tot ... 1.3 μB/cell
Space-group type ... No. 65
Volume ... 73.3 Å³ per cell

=====

(ii) is the most stable structure; the next one sits 1483 meV per atom above it.

=====

(i)
VASP calculation (PBE) on a relaxed structure of TaFe2Ru2.

a b c (Å): 7.0201 7.0201 2.7313
angles (deg): 90.00 90.00 90.00
Last column: nearest neighbours and their distance in Å.
Atoms (fractional coordinates):
Ru (0.8251, 0.3251, 0.5000)  6 Fe 2.45-2.51, 2 Ru 2.73
Ru (0.1749, 0.6749, 0.5000)  6 Fe 2.45-2.51, 2 Ru 2.73
Ru (0.3251, 0.1749, 0.5000)  6 Fe 2.45-2.51, 2 Ru 2.73
Ru (0.6749, 0.8251, 0.5000)  6 Fe 2.45-2.51, 2 Ru 2.73
Fe (0.3804, 0.8804, 0.0000)  1 Fe 2.37, 6 Ru 2.45-2.51
Fe (0.1196, 0.3804, 0.0000)  1 Fe 2.37, 6 Ru 2.45-2.51
Fe (0.6196, 0.1196, 0.0000)  1 Fe 2.37, 6 Ru 2.45-2.51
Fe (0.8804, 0.6196, 0.0000)  1 Fe 2.37, 6 Ru 2.45-2.51
Ta (0.0000, 0.0000, 0.0000)  2 Ta 2.73, 4 Fe 2.80, 8 Ru 2.93
Ta (0.5000, 0.5000, 0.0000)  2 Ta 2.73, 4 Fe 2.80, 8 Ru 2.93

D(E_F) ... 14.15 states/eV per cell
M_tot ... 0.0 μB/cell
Space-group type ... No. 127
Volume ... 134.6 Å³ per cell

=====

(ii)
VASP calculation (PBE) on a relaxed structure of TaFe2Ru2.

a b c (Å): 7.1119 7.1119 2.6897
angles (deg): 90.00 90.00 90.00
Last column: nearest neighbours and their distance in Å.
Atoms (fractional coordinates):
Fe (0.1704, 0.6704, 0.5000)  6 Ru 2.44-2.53, 2 Fe 2.69
Fe (0.3296, 0.1704, 0.5000)  6 Ru 2.44-2.53, 2 Fe 2.69
Fe (0.6704, 0.8296, 0.5000)  6 Ru 2.44-2.53, 2 Fe 2.69
Fe (0.8296, 0.3296, 0.5000)  6 Ru 2.44-2.53, 2 Fe 2.69
Ru (0.1270, 0.3730, 0.0000)  6 Fe 2.44-2.53, 3 Ru 2.55-2.69
Ru (0.3730, 0.8730, 0.0000)  6 Fe 2.44-2.53, 3 Ru 2.55-2.69
Ru (0.8730, 0.6270, 0.0000)  6 Fe 2.44-2.53, 3 Ru 2.55-2.69
Ru (0.6270, 0.1270, 0.0000)  6 Fe 2.44-2.53, 3 Ru 2.55-2.69
Ta (0.5000, 0.5000, 0.0000)  2 Ta 2.69, 4 Ru 2.80, 8 Fe 2.96
Ta (0.0000, 0.0000, 0.0000)  2 Ta 2.69, 4 Ru 2.80, 8 Fe 2.96

D(E_F) ... 11.47 states/eV per cell
M_tot ... 0.0 μB/cell
Space-group type ... No. 127
Volume ... 136.0 Å³ per cell

=====

(i) is the most stable structure; the next one sits 86 meV per atom above it.